Record 1
Computed, not measured: a geometry-optimized ThScGaRh structure at the PBE level of DFT.

Lattice parameters (Å, degrees): 4.949 4.949 4.949 60.00 60.00 60.00
Atoms (fractional coordinates):
Rh  0.750  0.750  0.750
Ga  0.250  0.250  0.250
Th  0.000  0.000  0.000
Sc  0.500  0.500  0.500

ρ, Mg/m³: 8.71
Total energy, hartree per atom: -0.2428
Energy of formation, meV/atom: -574
Magnetic moment, μB/atom: 0.0000

Record 2
Computed, not measured: a geometry-optimized TePNF2 structure at the PBE level of DFT.

Lattice parameters (Å, degrees): 3.752 3.752 5.196 90.00 90.00 90.00
Atoms (fractional coordinates):
P  0.000  0.000  0.000
Te  0.500  0.500  0.500
N  0.000  0.000  0.500
F  0.000  0.500  0.000
F  0.500  0.000  0.000

ρ, Mg/m³: 4.78
Total energy, hartree per atom: -0.1516
Offset from the most stable computed form, meV per atom: 0.0
Energy relative to the elements, uncorrected, eV/atom: -0.001
Magnetic moment, μB/atom: 0.0000

Record 3
Computed, not measured: a geometry-optimized FeHSe2 structure at the PBE level of DFT.

Lattice parameters (Å, degrees): 7.646 7.646 7.646 22.27 22.27 22.27
Atoms (fractional coordinates):
Se  0.100  0.100  0.100
H  0.500  0.500  0.500
Fe  0.000  0.000  0.000
Se  0.900  0.900  0.900

ρ, Mg/m³: 6.34
Total energy, hartree per atom: -0.1418
Offset from the most stable computed form, meV per atom: 900.3
Magnetic moment, μB/atom: 0.0000

Record 4
Computed, not measured: a geometry-optimized Sr3ZnPd8 structure at the PBE level of DFT.

Lattice parameters (Å, degrees): 5.548 5.548 9.511 73.04 73.04 60.00
Atoms (fractional coordinates):
Pd  0.810  0.810  0.569
Zn  0.138  0.138  0.585
Pd  0.562  0.062  0.813
Pd  0.311  0.311  0.067
Sr  0.623  0.623  0.131
Pd  0.562  0.562  0.813
Sr  0.494  0.494  0.519
Sr  0.009  0.009  0.972
Pd  0.062  0.562  0.813
Pd  0.060  0.557  0.322
Pd  0.557  0.060  0.322
Pd  0.060  0.060  0.322

ρ, Mg/m³: 8.21
Total energy, hartree per atom: -0.1654
Energy of formation, meV/atom: -513
Magnetic moment, μB/atom: 0.0000